## SiPWO2 (PBE with a Hubbard U)

Data for crystalline SiPWO2 at its relaxed geometry.

Unit cell a=3.8818 b=3.8818 c=5.2546 alpha=90.00 beta=90.00 gamma=90.00
Last column: nearest neighbours and their distance in Å.
Element x y z (fractional)
1 Si 0.0000 0.0000 0.0000  4 P 2.74
2 P 0.5000 0.5000 0.0000  2 W 2.63, 4 Si 2.74
3 W 0.5000 0.5000 0.5000  4 O 1.94
4 O 0.0000 0.5000 0.5000  2 W 1.94
5 O 0.5000 0.0000 0.5000  2 W 1.94

Properties
- offset from the most stable computed form (eV per formula unit) = 0.156
- M_tot (μB/atom) = 0.248
- symmetry = P4/mmm